Entry w
Compound: CuAgAu
Source: Alexandria
Functional: GGA-PBE
Structure: optimized geometry

Properties
total moment = 0.00 μB per atom
crystal system = orthorhombic
density of states at the Fermi level = 0.647 states/eV/f.u.

a b c (Å): 2.846 14.750 4.589
angles (deg): 90.00 90.00 90.00
Space group Cmcm (No. 63)
Asymmetric unit:
Cu1 0.000 0.056 0.250 [4 per cell]
Ag1 0.000 0.282 0.750 [4 per cell]
Au1 0.000 0.401 0.250 [4 per cell]

Entry x
Compound: CuAgAu
Source: Alexandria
Functional: GGA-PBE
Structure: optimized geometry

Properties
total moment = 0.00 μB per atom
crystal system = monoclinic
density of states at the Fermi level = 0.691 states/eV/f.u.

a b c (Å): 9.512 2.926 7.528
angles (deg): 90.00 113.20 90.00
Space group C2/m (No. 12)
Asymmetric unit:
Cu1 0.183 0.000 0.083 [4 per cell]
Ag1 0.164 0.000 0.589 [4 per cell]
Au1 0.003 0.500 0.217 [4 per cell]

Entry y
Compound: CuAgAu
Source: Alexandria
Functional: GGA-PBE
Structure: optimized geometry

Properties
total moment = 0.00 μB per atom
crystal system = tetragonal
density of states at the Fermi level = 0.495 states/eV/f.u.

a b c (Å): 2.874 2.874 11.678
angles (deg): 90.00 90.00 90.00
Space group I4mm (No. 107)
Asymmetric unit:
Cu1 0.000 0.000 0.000 [2 per cell]
Ag1 0.000 0.000 0.342 [2 per cell]
Au1 0.000 0.000 0.655 [2 per cell]

Of them, entry y has the lowest stability.

Entry w
Compound: Cu2Ag3Au3
Source: Alexandria
Functional: GGA-PBE
Structure: optimized geometry

Properties
total moment = 0.00 μB per atom
crystal system = orthorhombic
density of states at the Fermi level = 2.276 states/eV/f.u.

a b c (Å): 4.144 4.152 15.396
angles (deg): 90.00 90.00 90.00
Space group Immm (No. 71)
Asymmetric unit:
Cu1 0.000 0.000 0.250 [4 per cell]
Ag1 0.000 0.000 0.000 [2 per cell]
Ag2 0.000 0.500 0.135 [4 per cell]
Au1 0.000 0.000 0.500 [2 per cell]
Au2 0.000 0.500 0.362 [4 per cell]

Entry x
Compound: Cu2Ag3Au3
Source: Alexandria
Functional: GGA-PBE
Structure: optimized geometry

Properties
total moment = 0.00 μB per atom
crystal system = trigonal
density of states at the Fermi level = 1.636 states/eV/f.u.

a b c (Å): 7.5923 7.5923 8.4927
angles (deg): 90.00 90.00 120.00
Space group R32 (No. 155, hexagonal axes)
Asymmetric unit:
Cu1 0.0000 0.0000 0.1848 [6 per cell]
Ag1 0.0000 0.3034 0.5000 [9 per cell]
Au1 0.0000 0.6810 0.0000 [9 per cell]

Of them, entry x has the lowest stability.

Entry w
Compound: Cu6AgAu12
Source: Alexandria
Functional: GGA-PBE
Structure: optimized geometry

Properties
total moment = 0.00 μB per atom
crystal system = trigonal
density of states at the Fermi level = 3.956 states/eV/f.u.

a b c (Å): 12.4172 12.4172 6.9895
angles (deg): 90.00 90.00 120.00
Space group R-3 (No. 148, hexagonal axes)
Asymmetric unit:
Cu1 0.0326 0.7506 0.3289 [18 per cell]
Ag1 0.0000 0.0000 0.0000 [3 per cell]
Au1 0.0050 0.8650 0.6611 [18 per cell]
Au2 0.0634 0.5048 0.6715 [18 per cell]

Entry x
Compound: Cu6AgAu12
Source: Alexandria
Functional: GGA-PBE
Structure: optimized geometry

Properties
total moment = 0.00 μB per atom
crystal system = cubic
density of states at the Fermi level = 5.586 states/eV/f.u.

a b c (Å): 8.646 8.646 8.646
angles (deg): 90.00 90.00 90.00
Space group Im-3 (No. 204)
Asymmetric unit:
Cu1 0.000 0.364 0.500 [12 per cell]
Ag1 0.000 0.000 0.000 [2 per cell]
Au1 0.000 0.180 0.275 [24 per cell]

Of them, entry x has the lowest stability.

Entry w
Compound: Cu2AgAu4
Source: Alexandria
Functional: GGA-PBE
Structure: optimized geometry

Properties
total moment = 0.00 μB per atom
crystal system = tetragonal
density of states at the Fermi level = 2.198 states/eV/f.u.

a b c (Å): 5.067 5.067 10.673
angles (deg): 90.00 90.00 90.00
Space group I4/mmm (No. 139)
Asymmetric unit:
Cu1 0.000 0.000 0.125 [4 per cell]
Ag1 0.000 0.000 0.500 [2 per cell]
Au1 0.000 0.500 0.000 [4 per cell]
Au2 0.000 0.500 0.250 [4 per cell]

Entry x
Compound: Cu2AgAu4
Source: Alexandria
Functional: GGA-PBE
Structure: optimized geometry

Properties
total moment = 0.00 μB per atom
crystal system = orthorhombic
density of states at the Fermi level = 1.832 states/eV/f.u.

a b c (Å): 5.429 10.379 4.292
angles (deg): 90.00 90.00 90.00
Space group Pbam (No. 55)
Asymmetric unit:
Cu1 0.166 0.145 0.000 [4 per cell]
Ag1 0.000 0.000 0.500 [2 per cell]
Au1 0.083 0.727 0.500 [4 per cell]
Au2 0.179 0.402 0.000 [4 per cell]

Of them, entry w has the lowest stability.

Entry w
Compound: CuAg8Au2
Source: Alexandria
Functional: GGA-PBE
Structure: optimized geometry

Properties
total moment = 0.00 μB per atom
crystal system = monoclinic
density of states at the Fermi level = 3.166 states/eV/f.u.

a b c (Å): 12.327 7.229 4.983
angles (deg): 90.00 105.24 90.00
Space group C2/m (No. 12)
Asymmetric unit:
Cu1 0.000 0.000 0.000 [2 per cell]
Ag1 0.067 0.307 0.798 [8 per cell]
Ag2 0.147 0.500 0.346 [4 per cell]
Ag3 0.224 0.000 0.075 [4 per cell]
Au1 0.116 0.000 0.505 [4 per cell]

Entry x
Compound: CuAg8Au2
Source: Alexandria
Functional: GGA-PBE
Structure: optimized geometry

Properties
total moment = 0.00 μB per atom
crystal system = monoclinic
density of states at the Fermi level = 2.656 states/eV/f.u.

a b c (Å): 15.662 5.388 5.121
angles (deg): 90.00 108.77 90.00
Space group C2/m (No. 12)
Asymmetric unit:
Cu1 0.000 0.000 0.000 [2 per cell]
Ag1 0.079 0.500 0.935 [4 per cell]
Ag2 0.087 0.249 0.460 [8 per cell]
Ag3 0.175 0.000 0.043 [4 per cell]
Au1 0.241 0.500 0.371 [4 per cell]

Of them, entry w has the lowest stability.

Entry w
Compound: Cu2AgAu8
Source: Alexandria
Functional: GGA-PBE
Structure: optimized geometry

Properties
total moment = 0.00 μB per atom
crystal system = monoclinic
density of states at the Fermi level = 2.327 states/eV/f.u.

a b c (Å): 14.482 4.158 6.535
angles (deg): 90.00 106.94 90.00
Space group C2/m (No. 12)
Asymmetric unit:
Cu1 0.226 0.000 0.140 [4 per cell]
Ag1 0.000 0.500 0.500 [2 per cell]
Au1 0.048 0.000 0.227 [4 per cell]
Au2 0.101 0.500 0.965 [4 per cell]
Au3 0.145 0.000 0.706 [4 per cell]
Au4 0.183 0.500 0.420 [4 per cell]

Entry x
Compound: Cu2AgAu8
Source: Alexandria
Functional: GGA-PBE
Structure: optimized geometry

Properties
total moment = 0.00 μB per atom
crystal system = orthorhombic
density of states at the Fermi level = 4.155 states/eV/f.u.

a b c (Å): 8.330 11.169 4.196
angles (deg): 90.00 90.00 90.00
Space group Cmmm (No. 65)
Asymmetric unit:
Cu1 0.000 0.112 0.000 [4 per cell]
Ag1 0.000 0.500 0.500 [2 per cell]
Au1 0.000 0.245 0.500 [4 per cell]
Au2 0.165 0.000 0.500 [4 per cell]
Au3 0.177 0.365 0.000 [8 per cell]

Of them, entry x has the lowest stability.